Entry from Alexandria via LeMat-Bulk: a relaxed RuAuSe2 crystal (PBE).

Unit cell a=2.7832 b=2.9528 c=9.9913 alpha=90.00 beta=90.65 gamma=90.00
Closest atoms and distances in Å follow each position.
Space group P2/m (No. 10)
One atom of each set of equivalent atoms:
Ru 0.0000 0.0000 0.0000 [1 per cell]  4 Se 2.47
Au 0.0000 0.0000 0.5000 [1 per cell]  4 Au 2.78-2.95
Se 0.0086 0.5000 0.1977 [2 per cell]  2 Ru 2.47

Summary:
For the density of states at the Fermi level, the calculation gives 3.7 states/eV/cell. The calculation puts the total moment at 0.00 μB/cell. The total energy comes out at -0.171 hartree per atom. The value obtained for the uncorrected formation energy is 0.219 eV/atom.